# Be2AlRh

Be2AlRh after structural relaxation (PBE, Alexandria via LeMat-Bulk).

Summary:
Energy relative to the elements, eV/atom: -0.438

Lattice parameters (Å, degrees): 3.7232 3.7232 3.2265 90.00 90.00 90.00
With the nearest neighbours (Å) after each atom.
Space group P4/mmm (No. 123)
Inequivalent atoms, fractional coordinates:
Be 0.0000 0.5000 0.0000 x2  4 Al 2.46, 4 Rh 2.46, 4 Be 2.63
Al 0.0000 0.0000 0.5000 x1  8 Be 2.46, 4 Rh 2.63
Rh 0.5000 0.5000 0.5000 x1  8 Be 2.46, 4 Al 2.63

***

# MgZn4Pd15

MgZn4Pd15 after structural relaxation (PBE, Alexandria via LeMat-Bulk).

Summary:
Energy relative to the elements, eV/atom: -0.331

Lattice parameters (Å, degrees): 3.9318 3.9318 19.5622 90.00 90.00 90.00
With the nearest neighbours (Å) after each atom.
Space group P4/mmm (No. 123)
Inequivalent atoms, fractional coordinates:
Mg 0.0000 0.0000 0.0000 x1  12 Pd 2.78-2.81
Zn 0.0000 0.0000 0.2027 x2  12 Pd 2.76-2.78
Zn 0.0000 0.0000 0.4006 x2  12 Pd 2.76-2.78
Pd 0.0000 0.5000 0.1029 x4  8 Pd 2.76-2.81, 2 Zn 2.77, 2 Mg 2.81
Pd 0.0000 0.5000 0.3015 x4  4 Zn 2.76, 8 Pd 2.76-2.78
Pd 0.0000 0.5000 0.5000 x2  8 Pd 2.76-2.78, 4 Zn 2.76
Pd 0.5000 0.5000 0.0000 x1  4 Mg 2.78, 8 Pd 2.81
Pd 0.5000 0.5000 0.2018 x2  8 Pd 2.76-2.77, 4 Zn 2.78
Pd 0.5000 0.5000 0.4007 x2  8 Pd 2.76, 4 Zn 2.78

***

# La2TbNi

La2TbNi after structural relaxation (PBE, Alexandria via LeMat-Bulk).

Summary:
Energy relative to the elements, eV/atom: -0.066
Energy relative to the lowest polymorph listed for this composition, eV per atom: 0.123

Lattice parameters (Å, degrees): 3.6140 3.6140 8.8015 90.00 90.00 90.00
With the nearest neighbours (Å) after each atom.
Space group P4/mmm (No. 123)
Inequivalent atoms, fractional coordinates:
La 0.0000 0.0000 0.1918 x2  4 Ni 3.06, 1 La 3.38
Tb 0.5000 0.5000 0.5000 x1  4 Tb 3.61, 8 La 3.73
Ni 0.5000 0.5000 0.0000 x1  8 La 3.06

***

# PmFe4Sn

PmFe4Sn after structural relaxation (PBE, Alexandria via LeMat-Bulk).

Summary:
Energy relative to the elements, eV/atom: -0.005

Lattice parameters (Å, degrees): 7.2137 7.2137 7.2137 90.00 90.00 90.00
With the nearest neighbours (Å) after each atom.
Space group F-43m (No. 216)
Inequivalent atoms, fractional coordinates:
Pm 0.0000 0.0000 0.0000 x4  12 Fe 2.99, 4 Sn 3.12
Fe 0.1245 0.1245 0.3755 x16  6 Fe 2.54-2.56
Sn 0.2500 0.2500 0.7500 x4  12 Fe 2.99, 4 Pm 3.12

***

# Sr2PbSe

Sr2PbSe after structural relaxation (PBE, Alexandria via LeMat-Bulk).

Summary:
E_form (uncorrected), eV/atom: -1.200
Energy relative to the lowest polymorph listed for this composition, eV per atom: 0.000

Lattice parameters (Å, degrees): 4.2913 4.2913 26.4451 90.00 90.00 120.00
With the nearest neighbours (Å) after each atom.
Space group R-3m (No. 166, hexagonal axes)
Inequivalent atoms, fractional coordinates:
Sr 0.0000 0.0000 0.2373 x6  3 Se 3.10
Pb 0.0000 0.0000 0.0000 x3  6 Sr 3.55
Se 0.0000 0.0000 0.5000 x3  6 Sr 3.10

***

# PtRhW

PtRhW after structural relaxation (PBE, Alexandria via LeMat-Bulk).

Summary:
Energy relative to the elements, eV/atom: -0.315
Energy relative to the lowest polymorph listed for this composition, eV per atom: 0.000

Lattice parameters (Å, degrees): 2.7645 3.9122 8.3734 90.00 90.00 90.00
With the nearest neighbours (Å) after each atom.
Space group Imm2 (No. 44)
Inequivalent atoms, fractional coordinates:
Pt 0.0000 0.0000 0.0000 x2  5 Rh 2.74-2.80, 2 Pt 2.76, 5 W 2.78
Rh 0.0000 0.0000 0.6727 x2  5 W 2.74-2.86, 5 Pt 2.74-2.80, 2 Rh 2.76
W 0.0000 0.0000 0.3316 x2  5 Rh 2.74-2.86, 2 W 2.76, 5 Pt 2.78

***

# Dy3Zn9Ag2

Dy3Zn9Ag2 after structural relaxation (PBE, Alexandria via LeMat-Bulk).

Summary:
Energy relative to the elements, eV/atom: -0.311

Lattice parameters (Å, degrees): 4.4107 8.8229 13.2394 90.00 90.00 90.00
With the nearest neighbours (Å) after each atom.
Space group Immm (No. 71)
Inequivalent atoms, fractional coordinates:
Dy 0.0000 0.0000 0.0000 x2  12 Zn 3.08-3.34
Dy 0.0000 0.0000 0.2947 x4  12 Zn 3.06-3.24, 2 Ag 3.18
Zn 0.0000 0.2814 0.1377 x8  4 Zn 2.56-2.71
Zn 0.0000 0.3600 0.3355 x8  4 Zn 2.47-2.71, 1 Ag 2.66
Zn 0.0000 0.5000 0.0000 x2  4 Zn 2.65, 4 Ag 2.76
Ag 0.0000 0.1872 0.5000 x4  8 Zn 2.66-2.87

***

# Sr2CdHgSb

Sr2CdHgSb after structural relaxation (PBE, Alexandria via LeMat-Bulk).

Summary:
E_form (uncorrected), eV/atom: -0.197

Lattice parameters (Å, degrees): 6.0760 6.0760 5.2287 90.00 90.00 90.00
With the nearest neighbours (Å) after each atom.
Space group P4/mmm (No. 123)
Inequivalent atoms, fractional coordinates:
Sr 0.0000 0.5000 0.0000 x2  2 Hg 3.04
Cd 0.0000 0.0000 0.5000 x1  2 Hg 2.61
Hg 0.0000 0.0000 0.0000 x1  2 Cd 2.61
Sb 0.5000 0.5000 0.5000 x1  8 Sr 4.01, 4 Cd 4.30

***

# LiDyTh2Te4

LiDyTh2Te4 after structural relaxation (PBE, Alexandria via LeMat-Bulk).

Summary:
E_form (uncorrected), eV/atom: -1.138

Lattice parameters (Å, degrees): 7.2655 4.1838 8.1371 90.00 106.94 90.00
With the nearest neighbours (Å) after each atom.
Space group P2/m (No. 10)
Inequivalent atoms, fractional coordinates:
Li 0.0000 0.0000 0.0000 x1  6 Te 2.94-2.98
Dy 0.5000 0.5000 0.0000 x1  6 Te 3.03-3.04
Th 0.0000 0.5000 0.5000 x1  6 Te 3.17-3.18
Th 0.5000 0.0000 0.5000 x1  6 Te 3.24-3.25
Te 0.2356 0.5000 0.2280 x2  2 Li 2.98, 1 Dy 3.03, 3 Th 3.17-3.24
Te 0.2465 0.0000 0.7699 x2  1 Li 2.94, 2 Dy 3.04, 3 Th 3.18-3.25

***

# RbLiTcCl6

RbLiTcCl6 after structural relaxation (PBE, Alexandria via LeMat-Bulk).

Summary:
E_form (uncorrected), eV/atom: -1.262

Lattice parameters (Å, degrees): 6.5327 6.5327 14.6556 90.00 90.00 120.00
With the nearest neighbours (Å) after each atom.
Space group P-31c (No. 163)
Inequivalent atoms, fractional coordinates:
Rb 0.0000 0.0000 0.0000 x2  6 Cl 3.33
Li 0.3333 0.6667 0.2500 x2  6 Cl 2.59
Tc 0.3333 0.6667 0.7500 x2  6 Cl 2.38
Cl 0.0246 0.3822 0.6562 x12  1 Tc 2.38, 1 Li 2.59

***

# CaFe2Pt2

CaFe2Pt2 after structural relaxation (PBE, Alexandria via LeMat-Bulk).

Summary:
Energy relative to the elements, eV/atom: -0.060

Lattice parameters (Å, degrees): 7.4886 7.4886 2.7230 90.00 90.00 90.00
With the nearest neighbours (Å) after each atom.
Space group P4/mbm (No. 127)
Inequivalent atoms, fractional coordinates:
Ca 0.0000 0.0000 0.0000 x2  2 Ca 2.72
Fe 0.1070 0.3930 0.0000 x4  1 Fe 2.27
Pt 0.1874 0.6874 0.5000 x4  6 Fe 2.57-2.66, 2 Pt 2.72

***

# NdSmAs2

NdSmAs2 after structural relaxation (PBE, Alexandria via LeMat-Bulk).

Summary:
Energy relative to the elements, eV/atom: -1.521
Energy relative to the lowest polymorph listed for this composition, eV per atom: 0.000

Lattice parameters (Å, degrees): 5.9986 5.9986 12.0080 90.00 90.00 90.00
With the nearest neighbours (Å) after each atom.
Space group I4_1/amd (No. 141, origin choice 2)
Inequivalent atoms, fractional coordinates:
Nd 0.0000 0.2500 0.3750 x4  6 As 3.00-3.02
Sm 0.0000 0.2500 0.8750 x4  6 As 2.99-3.00
As 0.0000 0.2500 0.1236 x8  3 Sm 2.99-3.00, 3 Nd 3.00-3.02

***

# HfAlPd2Pb

HfAlPd2Pb after structural relaxation (PBE, Alexandria via LeMat-Bulk).

Summary:
Energy relative to the elements, eV/atom: 0.728

Lattice parameters (Å, degrees): 4.9295 4.9295 5.6871 90.00 90.00 90.00
With the nearest neighbours (Å) after each atom.
Space group P4/mmm (No. 123)
Inequivalent atoms, fractional coordinates:
Hf 0.0000 0.0000 0.0000 x1  4 Pd 2.46
Al 0.5000 0.5000 0.5000 x1  4 Pb 3.49, 8 Pd 3.76
Pd 0.0000 0.5000 0.0000 x2  2 Hf 2.46
Pb 0.0000 0.0000 0.5000 x1  2 Hf 2.84

***

# DyInAu4

DyInAu4 after structural relaxation (PBE, Alexandria via LeMat-Bulk).

Summary:
Energy relative to the elements, eV/atom: -0.520
Energy relative to the lowest polymorph listed for this composition, eV per atom: 0.000

Lattice parameters (Å, degrees): 5.1322 9.2626 5.1040 90.00 90.00 90.00
With the nearest neighbours (Å) after each atom.
Space group Cmmm (No. 65)
Inequivalent atoms, fractional coordinates:
Dy 0.0000 0.0000 0.0000 x2  10 Au 3.00-3.08
In 0.0000 0.5000 0.5000 x2  10 Au 2.99-3.06
Au 0.0000 0.1696 0.5000 x4  5 Au 2.96-3.14, 2 Dy 3.00, 3 In 3.01-3.06
Au 0.0000 0.3321 0.0000 x4  5 Au 2.96-3.11, 2 In 2.99, 3 Dy 3.00-3.08

***

# HgTeRh2

HgTeRh2 after structural relaxation (PBE, Alexandria via LeMat-Bulk).

Summary:
E_form (uncorrected), eV/atom: 0.028
Energy relative to the lowest polymorph listed for this composition, eV per atom: 0.002

Lattice parameters (Å, degrees): 3.4294 3.4294 22.6734 90.00 90.00 120.00
With the nearest neighbours (Å) after each atom.
Space group R-3m (No. 166, hexagonal axes)
Inequivalent atoms, fractional coordinates:
Hg 0.0000 0.0000 0.0000 x3  6 Rh 2.84
Te 0.0000 0.0000 0.5000 x3  6 Rh 2.64
Rh 0.0000 0.0000 0.2435 x6  3 Te 2.64, 3 Hg 2.84

***

# LaBeSb

LaBeSb after structural relaxation (PBE, Alexandria via LeMat-Bulk).

Summary:
E_form (uncorrected), eV/atom: 0.182
Energy relative to the lowest polymorph listed for this composition, eV per atom: 0.831

Lattice parameters (Å, degrees): 7.2121 7.2121 7.2121 90.00 90.00 90.00
With the nearest neighbours (Å) after each atom.
Space group F-43m (No. 216)
Inequivalent atoms, fractional coordinates:
La 0.0000 0.0000 0.0000 x4  4 Sb 3.12, 4 Be 3.12
Be 0.2500 0.2500 0.2500 x4  4 La 3.12
Sb 0.2500 0.2500 0.7500 x4  4 La 3.12

***

# Na2PmCuCl6

Na2PmCuCl6 after structural relaxation (PBE, Alexandria via LeMat-Bulk).

Summary:
E_form (uncorrected), eV/atom: -1.683

Lattice parameters (Å, degrees): 6.9714 6.5608 14.0206 90.00 119.45 90.00
With the nearest neighbours (Å) after each atom.
Space group P2_1/c (No. 14)
Inequivalent atoms, fractional coordinates:
Na 0.1969 0.0040 0.2025 x4  5 Cl 2.76-3.01
Pm 0.5000 0.0000 0.0000 x2  6 Cl 2.71-2.78
Cu 0.0000 0.0000 0.5000 x2  2 Cl 2.14
Cl 0.1538 0.2223 0.9924 x4  1 Cu 2.14
Cl 0.1748 0.7487 0.3549 x4  1 Pm 2.72, 2 Na 2.78-2.81
Cl 0.4944 0.7135 0.6637 x4  1 Pm 2.71, 2 Na 2.76-2.78

***

# Sc2GaPtAu

Sc2GaPtAu after structural relaxation (PBE, Alexandria via LeMat-Bulk).

Summary:
Energy relative to the elements, eV/atom: -0.817

Lattice parameters (Å, degrees): 5.7908 4.3610 7.7202 90.00 93.53 90.00
With the nearest neighbours (Å) after each atom.
Space group P2_1/m (No. 11)
Inequivalent atoms, fractional coordinates:
Sc 0.1817 0.2500 0.1182 x2  3 Au 2.80-2.99, 4 Pt 2.81-2.94, 2 Ga 2.97
Sc 0.2574 0.7500 0.5582 x2  3 Au 2.79-2.90, 1 Pt 2.82, 3 Ga 2.86-2.97
Ga 0.4970 0.7500 0.2450 x2  3 Pt 2.62-2.76, 1 Au 2.65, 1 Sc 2.86
Pt 0.3268 0.7500 0.9223 x2  3 Ga 2.62-2.76, 4 Sc 2.81-2.88
Au 0.0443 0.2500 0.7385 x2  1 Ga 2.65, 5 Sc 2.79-2.90

***

# LiAc4La3Te8

LiAc4La3Te8 after structural relaxation (PBE, Alexandria via LeMat-Bulk).

Summary:
E_form (uncorrected), eV/atom: -1.491

Lattice parameters (Å, degrees): 9.2942 9.2942 22.6738 90.00 90.00 120.00
With the nearest neighbours (Å) after each atom.
Space group R-3m (No. 166, hexagonal axes)
Inequivalent atoms, fractional coordinates:
Li 0.0000 0.0000 0.0000 x3  6 Te 3.15
Ac 0.0000 0.0000 0.5000 x3  6 Te 3.42
Ac 0.0000 0.5000 0.5000 x9  6 Te 3.32-3.33
La 0.0000 0.5000 0.0000 x9  6 Te 3.24
Te 0.0000 0.0000 0.2533 x6  3 La 3.24, 3 Ac 3.32
Te 0.0094 0.5047 0.7445 x18  1 Li 3.15, 2 La 3.24, 3 Ac 3.33-3.42

***

# CrRe3P

CrRe3P after structural relaxation (PBE, Alexandria via LeMat-Bulk).

Summary:
Energy relative to the elements, eV/atom: 0.957
Energy relative to the lowest polymorph listed for this composition, eV per atom: 0.000

Lattice parameters (Å, degrees): 4.3573 4.3573 4.3573 90.00 90.00 90.00
With the nearest neighbours (Å) after each atom.
Space group Pm-3m (No. 221)
Inequivalent atoms, fractional coordinates:
Cr 0.0000 0.0000 0.0000 x1  12 Re 3.08
Re 0.0000 0.5000 0.5000 x3  2 P 2.18
P 0.5000 0.5000 0.5000 x1  6 Re 2.18

***

no.,DFT total energy (eV per cell)
1,-20.3
2,-91.2
3,-20.5
4,-170.5
5,-46.1
6,-54.6
7,-70.7
8,-9.7
9,-43.0
10,-71.4
11,-62.6
12,-99.5
13,-24.1
14,-47.1
15,-54.1
16,-48.9
17,-78.8
18,-58.2
19,-246.4
20,-47.6